DFT (GGA-PBE) results for a relaxed structure of LaY2Ru.

Calculated values
Density of states at the Fermi level   4.4 states/eV/cell
ρ   5.68 g/cm3
Energy relative to the elements   -0.0173 eV per atom
E_tot   -6.800 eV per atom

Lattice parameters (Å, degrees): 9.7573 9.7573 9.7573 22.77 22.77 22.77
With the nearest neighbours (Å) after each atom.
Fractional positions:
Y: 0.9727 0.9727 0.9727  3 Ru 2.74
Y: 0.5273 0.5273 0.5273  3 Ru 2.74
Ru: 0.2500 0.2500 0.2500  6 Y 2.74
La: 0.7500 0.7500 0.7500  6 La 3.85, 6 Y 3.86